Here is an optimized crystal structure of HgAuCl2 from Alexandria via LeMat-Bulk. Energies are from GGA-PBE.

As for the raw total energy: -1.646 eV per atom. The uncorrected formation energy comes out at 0.172 eV/atom.

Unit cell a=5.0006 b=5.0006 c=5.0006 alpha=60.00 beta=60.00 gamma=60.00
Last column: nearest neighbours and their distance in Å.
Positions (direct):
Hg 0.0000 0.0000 0.0000  8 Cl 3.06
Au 0.5000 0.5000 0.5000  8 Cl 3.06
Cl 0.2500 0.2500 0.2500  4 Hg 3.06, 4 Au 3.06
Cl 0.7500 0.7500 0.7500  4 Hg 3.06, 4 Au 3.06